Record 1
The following is a PBE calculation of Pm9Sm3Y2 after structural relaxation, from Alexandria via LeMat-Bulk.

a = 9.1023 Å, b = 9.1023 Å, c = 13.9678 Å
α = 90.00°, β = 90.00°, γ = 120.00°
With the nearest neighbours (Å) after each atom.
Atoms (fractional coordinates):
Pm1 0.2761 0.8681 0.0427  1 Y 3.35, 7 Pm 3.49-3.74, 1 Sm 3.56
Pm2 0.5190 0.9175 0.2500  2 Sm 3.18-3.44, 4 Pm 3.53-3.55
Pm3 0.7239 0.1319 0.5427  1 Y 3.35, 7 Pm 3.49-3.74, 1 Sm 3.56
Pm4 0.4080 0.2761 0.5427  1 Y 3.35, 7 Pm 3.49-3.74, 1 Sm 3.56
Sm1 0.9178 0.1686 0.2500  2 Pm 3.18-3.44, 2 Sm 3.49
Pm5 0.4810 0.0825 0.7500  2 Sm 3.18-3.44, 4 Pm 3.53-3.55
Pm6 0.3986 0.4810 0.2500  2 Sm 3.18-3.44, 4 Pm 3.53-3.55
Pm7 0.6014 0.5190 0.7500  2 Sm 3.18-3.44, 4 Pm 3.53-3.55
Pm8 0.2761 0.8681 0.4573  1 Y 3.35, 7 Pm 3.49-3.74, 1 Sm 3.56
Pm9 0.8681 0.5920 0.9573  1 Y 3.35, 7 Pm 3.49-3.74, 1 Sm 3.56
Sm2 0.7492 0.9178 0.7500  2 Pm 3.18-3.44, 2 Sm 3.49
Y1 0.6667 0.3333 0.1414  1 Y 3.03, 3 Pm 3.35
Pm10 0.4080 0.2761 0.9573  1 Y 3.35, 7 Pm 3.49-3.74, 1 Sm 3.56
Sm3 0.8314 0.7492 0.2500  2 Pm 3.18-3.44, 2 Sm 3.49
Pm11 0.1319 0.4080 0.4573  1 Y 3.35, 7 Pm 3.49-3.74, 1 Sm 3.56
Pm12 0.5920 0.7239 0.4573  1 Y 3.35, 7 Pm 3.49-3.74, 1 Sm 3.56
Pm13 0.7239 0.1319 0.9573  1 Y 3.35, 7 Pm 3.49-3.74, 1 Sm 3.56
Pm14 0.5920 0.7239 0.0427  1 Y 3.35, 7 Pm 3.49-3.74, 1 Sm 3.56
Sm4 0.0822 0.8314 0.7500  2 Pm 3.18-3.44, 2 Sm 3.49
Sm5 0.1686 0.2508 0.7500  2 Pm 3.18-3.44, 2 Sm 3.49
Y2 0.3333 0.6667 0.6414  1 Y 3.03, 3 Pm 3.35
Pm15 0.0825 0.6014 0.2500  2 Sm 3.18-3.44, 4 Pm 3.53-3.55
Sm6 0.2508 0.0822 0.2500  2 Pm 3.18-3.44, 2 Sm 3.49
Y3 0.6667 0.3333 0.3586  1 Y 3.03, 3 Pm 3.35
Pm16 0.8681 0.5920 0.5427  1 Y 3.35, 7 Pm 3.49-3.74, 1 Sm 3.56
Pm17 0.9175 0.3986 0.7500  2 Sm 3.18-3.44, 4 Pm 3.53-3.55
Pm18 0.1319 0.4080 0.0427  1 Y 3.35, 7 Pm 3.49-3.74, 1 Sm 3.56
Y4 0.3333 0.6667 0.8586  1 Y 3.03, 3 Pm 3.35

## Properties
Symmetry: P6_3/m, No. 176
Formation energy from the elements in meV per atom: 232

***

Record 2
The following is a PBE calculation of MgCdCl after structural relaxation, from Alexandria via LeMat-Bulk.

a = 7.9316 Å, b = 7.9316 Å, c = 7.9316 Å
α = 156.30°, β = 156.30°, γ = 33.76°
With the nearest neighbours (Å) after each atom.
Atoms (fractional coordinates):
Cd1 0.0428 0.0428 0.0000  4 Mg 3.14, 4 Cd 3.26, 1 Cl 3.51
Cl1 0.2741 0.2741 0.0000  4 Mg 2.69
Mg1 0.6831 0.6831 0.0000  4 Cl 2.69

## Properties
Symmetry: I4mm, No. 107
Raw formation energy in eV/atom: -0.595

***

Record 3
The following is a PBE calculation of Ti12TcAs6 after structural relaxation, from Alexandria via LeMat-Bulk.

a = 7.6085 Å, b = 7.6085 Å, c = 7.6085 Å
α = 109.49°, β = 109.49°, γ = 109.49°
With the nearest neighbours (Å) after each atom.
Atoms (fractional coordinates):
Ti1 0.0202 0.8782 0.3107  3 As 2.54-2.61, 1 Tc 2.79
As1 0.6707 0.7855 0.3366  6 Ti 2.54-2.70
Ti2 0.8573 0.6688 0.5939  3 As 2.60-2.70, 1 Tc 2.80, 1 Ti 2.87
As2 0.3293 0.2145 0.6634  6 Ti 2.54-2.70
Ti3 0.9798 0.1218 0.6893  3 As 2.54-2.61, 1 Tc 2.79
Ti4 0.6893 0.9798 0.1218  3 As 2.54-2.61, 1 Tc 2.79
Ti5 0.3107 0.0202 0.8782  3 As 2.54-2.61, 1 Tc 2.79
Ti6 0.1218 0.6893 0.9798  3 As 2.54-2.61, 1 Tc 2.79
Ti7 0.5939 0.8573 0.6688  3 As 2.60-2.70, 1 Tc 2.80, 1 Ti 2.87
As3 0.7855 0.3366 0.6707  6 Ti 2.54-2.70
Ti8 0.4061 0.1427 0.3312  3 As 2.60-2.70, 1 Tc 2.80, 1 Ti 2.87
Ti9 0.8782 0.3107 0.0202  3 As 2.54-2.61, 1 Tc 2.79
Ti10 0.6688 0.5939 0.8573  3 As 2.60-2.70, 1 Tc 2.80, 1 Ti 2.87
As4 0.3366 0.6707 0.7855  6 Ti 2.54-2.70
As5 0.2145 0.6634 0.3293  6 Ti 2.54-2.70
Tc1 0.0000 0.0000 0.0000  12 Ti 2.79-2.80
Ti11 0.1427 0.3312 0.4061  3 As 2.60-2.70, 1 Tc 2.80, 1 Ti 2.87
Ti12 0.3312 0.4061 0.1427  3 As 2.60-2.70, 1 Tc 2.80, 1 Ti 2.87
As6 0.6634 0.3293 0.2145  6 Ti 2.54-2.70

## Properties
Symmetry: R-3, No. 148
Formation energy from the elements in meV per atom: -521

***

Record 4
The following is a PBE calculation of Sc4InH after structural relaxation, from Alexandria via LeMat-Bulk.

a = 5.6587 Å, b = 6.1905 Å, c = 7.5616 Å
α = 104.61°, β = 111.97°, γ = 90.00°
With the nearest neighbours (Å) after each atom.
Atoms (fractional coordinates):
In1 0.0923 0.2499 0.0000  10 Sc 3.14-3.30, 2 In 3.27
H1 0.0000 0.5000 0.5000  6 Sc 2.23-2.32
Sc1 0.3181 0.5578 0.7970  1 H 2.23
H2 0.5000 0.0000 0.5000  6 Sc 2.23-2.33
Sc2 0.6819 0.4422 0.2030  1 H 2.23
Sc3 0.4789 0.0577 0.7969  1 H 2.23
In2 0.9077 0.7501 0.0000  10 Sc 3.14-3.30, 2 In 3.27
Sc4 0.2820 0.6458 0.3908  2 H 2.31-2.32
Sc5 0.1087 0.1459 0.3908  2 H 2.31-2.33
Sc6 0.7180 0.3542 0.6092  2 H 2.31-2.32
Sc7 0.5211 0.9423 0.2031  1 H 2.23
Sc8 0.8913 0.8541 0.6092  2 H 2.31-2.33

## Properties
Total DFT energy (no corrections) in eV per atom: -5.50
Symmetry: C2/c, No. 15

***

Record 5
The following is a PBE calculation of HfSc6Al after structural relaxation, from Alexandria via LeMat-Bulk.

a = 4.5312 Å, b = 6.3526 Å, c = 6.3526 Å
α = 90.19°, β = 90.00°, γ = 90.00°
With the nearest neighbours (Å) after each atom.
Atoms (fractional coordinates):
Sc1 0.0000 0.8790 0.1210  8 Sc 3.13-3.22, 2 Hf 3.17, 2 Al 3.22
Sc2 0.5000 0.6251 0.8751  2 Al 3.18, 2 Hf 3.18, 8 Sc 3.19
Sc3 0.0000 0.8782 0.6282  8 Sc 3.13-3.22, 2 Hf 3.17, 2 Al 3.21
Sc4 0.5000 0.1249 0.3749  2 Al 3.18, 2 Hf 3.18, 8 Sc 3.19
Hf1 0.5000 0.1251 0.8749  12 Sc 3.17-3.18
Al1 0.5000 0.6249 0.3751  12 Sc 3.18-3.22
Sc5 0.0000 0.3711 0.6289  8 Sc 3.13-3.22, 2 Hf 3.17, 2 Al 3.22
Sc6 0.0000 0.3718 0.1218  8 Sc 3.13-3.22, 2 Hf 3.17, 2 Al 3.21

## Properties
Symmetry: Cmmm, No. 65
Formation energy from the elements in meV per atom: -57

***

Record 6
The following is a PBE calculation of DySc2In after structural relaxation, from Alexandria via LeMat-Bulk.

a = 4.6191 Å, b = 4.6384 Å, c = 4.6384 Å
α = 90.00°, β = 90.00°, γ = 90.00°
With the nearest neighbours (Å) after each atom.
Atoms (fractional coordinates):
Dy1 0.5000 0.5000 0.5000  8 Sc 3.27, 4 In 3.28
Sc1 0.0000 0.0000 0.5000  4 Dy 3.27, 4 In 3.27, 4 Sc 3.28
Sc2 0.0000 0.5000 0.0000  4 Dy 3.27, 4 In 3.27, 4 Sc 3.28
In1 0.5000 0.0000 0.0000  8 Sc 3.27, 4 Dy 3.28

## Properties
Symmetry: P4/mmm, No. 123
Formation energy from the elements in meV per atom: -265

***

Record 7
The following is a PBE calculation of YFeSi3Rh after structural relaxation, from Alexandria via LeMat-Bulk.

a = 5.3704 Å, b = 7.2116 Å, c = 6.6269 Å
α = 122.96°, β = 90.00°, γ = 90.00°
With the nearest neighbours (Å) after each atom.
Atoms (fractional coordinates):
Rh1 0.7500 0.5700 0.1400  5 Si 2.19-2.41
Si1 0.7500 0.7672 0.5344  1 Fe 2.09, 1 Rh 2.19
Fe1 0.7500 0.9553 0.9105  5 Si 2.09-2.27
Si2 0.0000 0.7559 0.0000  2 Fe 2.27, 2 Rh 2.41
Y1 0.2500 0.7709 0.5417  2 Si 2.69
Y2 0.7500 0.2291 0.4583  2 Si 2.69
Si3 0.2500 0.2328 0.4656  1 Fe 2.09, 1 Rh 2.19
Si4 0.5000 0.2441 0.0000  2 Fe 2.27, 2 Rh 2.41
Rh2 0.2500 0.4300 0.8600  5 Si 2.19-2.41
Si5 0.0000 0.2441 0.0000  2 Fe 2.27, 2 Rh 2.41
Fe2 0.2500 0.0447 0.0895  5 Si 2.09-2.27
Si6 0.5000 0.7559 0.0000  2 Fe 2.27, 2 Rh 2.41

## Properties
Symmetry: Cmcm, No. 63
Raw formation energy in eV/atom: -0.436

***

Record 8
The following is a PBE calculation of CsAc2AsO2 after structural relaxation, from Alexandria via LeMat-Bulk.

a = 4.1433 Å, b = 4.1433 Å, c = 10.7543 Å
α = 90.00°, β = 90.00°, γ = 120.00°
With the nearest neighbours (Å) after each atom.
Atoms (fractional coordinates):
O1 0.3333 0.6667 0.2128  3 Ac 2.63
As1 0.0000 0.0000 0.5000  6 Ac 3.12
Ac1 0.6667 0.3333 0.3135  3 O 2.63
Cs1 0.0000 0.0000 0.0000  6 O 3.31
Ac2 0.3333 0.6667 0.6865  3 O 2.63
O2 0.6667 0.3333 0.7872  3 Ac 2.63

## Properties
Symmetry: P-3m1, No. 164
Raw formation energy in eV/atom: -2.062

***

Q: What is the formula in the seventh record?
A: YFeSi3Rh

***

What did the second record say?
The following is a PBE calculation of MgCdCl after structural relaxation, from Alexandria via LeMat-Bulk.

a = 7.9316 Å, b = 7.9316 Å, c = 7.9316 Å
α = 156.30°, β = 156.30°, γ = 33.76°
With the nearest neighbours (Å) after each atom.
Atoms (fractional coordinates):
Cd1 0.0428 0.0428 0.0000  4 Mg 3.14, 4 Cd 3.26, 1 Cl 3.51
Cl1 0.2741 0.2741 0.0000  4 Mg 2.69
Mg1 0.6831 0.6831 0.0000  4 Cl 2.69

## Properties
Symmetry: I4mm, No. 107
Raw formation energy in eV/atom: -0.595